NaYSe2: relaxed, PBE.

Structure (POSCAR):
```
NaYSe2
1.0
4.106 -0.001 0.000
-2.054 3.556 0.002
-0.001 -0.003 7.276
Na Y Se
1 1 2
direct
0.000 0.500 0.500 Na
0.000 0.500 0.000 Y
0.667 0.833 0.773 Se
0.333 0.167 0.227 Se
```

## Properties
Symmetry = No. 164
Final energy = -21.49 eV per cell
Volume = 26.56 Å³ per atom
Uncorrected formation energy = -1.683 eV/atom
DOS(E_F) = 0.00 states/eV per cell